1.
Density functional theory data (PBE-GGA) for a geometry-optimized MgCoAg structure.

Unit cell a=6.159 b=6.159 c=6.159 alpha=153.31 beta=153.31 gamma=38.10
Positions (direct):
Mg1 0.000 0.000 0.000
Co1 0.346 0.346 0.000
Ag1 0.686 0.686 0.000

Output
ΔE_f, eV/f.u.: 0.57
E, eV/f.u.: -11.0
Energy above the lowest structure with this stoichiometry, eV/f.u.: 0.00

***

2.
Density functional theory data (PBE-GGA) for a geometry-optimized LiTb2Nb structure.

Unit cell a=3.387 b=3.387 c=8.857 alpha=90.00 beta=90.00 gamma=90.00
Positions (direct):
Li1 0.000 0.000 0.000
Tb1 0.500 0.500 0.270
Tb2 0.500 0.500 0.730
Nb1 0.000 0.000 0.500

Output
ΔE_f, eV/f.u.: 0.87
E, eV/f.u.: -20.4

***

3.
Density functional theory data (PBE-GGA) for a geometry-optimized Na3MgZr2Te6 structure.

Unit cell a=7.305 b=7.305 c=7.977 alpha=98.81 beta=98.81 gamma=119.88
Positions (direct):
Na1 0.000 0.000 0.000
Na2 0.332 0.668 0.000
Na3 0.668 0.332 0.000
Mg1 0.500 0.500 0.500
Zr1 0.165 0.835 0.500
Zr2 0.835 0.165 0.500
Te1 0.091 0.427 0.279
Te2 0.240 0.240 0.724
Te3 0.427 0.091 0.279
Te4 0.573 0.909 0.721
Te5 0.760 0.760 0.276
Te6 0.909 0.573 0.721

Output
Uncorrected formation energy, eV/atom: -0.897
E, eV/f.u.: -52.3

***

Question: What is the E in the second record?
Answer: -20.4 eV/f.u.

***

Question: The lowest E belongs to which entry?
Answer: Na3MgZr2Te6

***

Question: Which of these has the highest E?
Answer: MgCoAg